Entry 1:
Computed, not measured: a relaxed structure of K4Rb5Au3 at the PBE level of DFT.

Computed properties:
**Electronic total energy**: -1.707 eV/atom
**Space-group type**: C2/m (12)
**DFT formation energy**: -0.118 eV/atom

abc: 6.6575 11.3064 9.9466
angles: 107.37 90.00 107.12
Last column: nearest neighbours and their distance in Å.
Atoms (fractional coordinates):
1 Rb 0.0000 0.0000 0.5000  2 Au 3.33
2 K 0.1605 0.3210 0.0345  3 Au 3.43-3.63
3 Rb 0.4262 0.8523 0.7702  2 Au 3.53-3.65
4 Au 0.5000 0.0000 0.5000  6 Rb 3.33-3.53
5 K 0.8006 0.6012 0.4820  1 Au 3.30
6 K 0.8395 0.6790 0.9655  3 Au 3.43-3.63
7 Au 0.2752 0.5505 0.8617  4 K 3.30-3.63, 2 Rb 3.56-3.65
8 K 0.1994 0.3988 0.5180  1 Au 3.30
9 Rb 0.3477 0.6954 0.2355  2 Au 3.51-3.56, 1 K 3.91
10 Au 0.7248 0.4495 0.1383  4 K 3.30-3.63, 2 Rb 3.56-3.65
11 Rb 0.5738 0.1477 0.2298  2 Au 3.53-3.65
12 Rb 0.6523 0.3046 0.7645  2 Au 3.51-3.56, 1 K 3.91

Entry 2:
Computed, not measured: a relaxed structure of K6RbAu3 at the PBE level of DFT.

Computed properties:
**Electronic total energy**: -1.907 eV/atom
**Space-group type**: P2_1/m (11)
**DFT formation energy**: -0.169 eV/atom

abc: 5.5305 10.9248 14.4296
angles: 89.34 90.00 90.00
Last column: nearest neighbours and their distance in Å.
Atoms (fractional coordinates):
1 Rb 0.7500 0.0753 0.7770  3 Au 3.61-3.66
2 K 0.2500 0.3478 0.7168  3 Au 3.44-3.58
3 K 0.2500 0.6272 0.4794  2 Au 3.35
4 K 0.2500 0.1603 0.9889  3 Au 3.65
5 Au 0.7500 0.1160 0.1510  5 K 3.46-3.65, 2 Rb 3.61
6 K 0.7500 0.4205 0.0824  4 Au 3.32-3.56
7 Au 0.2500 0.6067 0.1462  6 K 3.32-3.64, 1 Rb 3.66
8 K 0.7500 0.6522 0.2832  3 Au 3.44-3.58
9 Au 0.2500 0.8840 0.8490  5 K 3.46-3.65, 2 Rb 3.61
10 Au 0.2500 0.2042 0.4950  7 K 3.32-3.58
11 Rb 0.2500 0.9247 0.2230  3 Au 3.61-3.66
12 K 0.7500 0.0670 0.3995  4 Au 3.32-3.62
13 K 0.2500 0.9330 0.6005  4 Au 3.32-3.62
14 Au 0.7500 0.7958 0.5050  7 K 3.32-3.58
15 K 0.7500 0.8397 0.0111  3 Au 3.65
16 K 0.2500 0.3150 0.2706  2 Au 3.44-3.64
17 Au 0.7500 0.3933 0.8538  6 K 3.32-3.64, 1 Rb 3.66
18 K 0.7500 0.6850 0.7294  2 Au 3.44-3.64
19 K 0.7500 0.3728 0.5206  2 Au 3.35
20 K 0.2500 0.5795 0.9176  4 Au 3.32-3.56

Entry 3:
Computed, not measured: a relaxed structure of KRb3Au at the PBE level of DFT.

Computed properties:
**Electronic total energy**: -1.056 eV/atom
**Energy relative to the lowest polymorph listed for this composition**: 514 meV per atom
**Space-group type**: Pm-3m (221)
**DFT formation energy**: 0.399 eV/atom

abc: 7.7234 7.7234 7.7234
angles: 90.00 90.00 90.00
Last column: nearest neighbours and their distance in Å.
Atoms (fractional coordinates):
1 K 0.0000 0.0000 0.0000  6 Rb 3.86
2 Rb 0.0000 0.5000 0.0000  2 K 3.86
3 Au 0.5000 0.5000 0.5000  12 Rb 5.46
4 Rb 0.5000 0.0000 0.0000  2 K 3.86
5 Rb 0.0000 0.0000 0.5000  2 K 3.86

Entry 4:
Computed, not measured: a relaxed structure of KRb8Au4 at the PBE level of DFT.

Computed properties:
**Electronic total energy**: -1.850 eV/atom
**Space-group type**: C2/m (12)
**DFT formation energy**: -0.162 eV/atom

abc: 4.8701 12.6146 13.1166
angles: 80.86 79.30 78.87
Last column: nearest neighbours and their distance in Å.
Atoms (fractional coordinates):
1 Rb 0.8086 0.3424 0.0403  3 Au 3.49-3.50
2 Rb 0.1420 0.3375 0.3785  3 Au 3.47-3.49
3 Rb 0.4796 0.3292 0.7117  3 Au 3.48-3.52
4 K 0.5157 0.0018 0.9668  2 K 4.87, 10 Rb 4.88-5.06
5 Rb 0.8896 0.6656 0.5551  3 Au 3.47-3.49
6 Au 0.6631 0.1692 0.5047  6 Rb 3.47-3.52
7 Au 0.1788 0.5036 0.1387  6 Rb 3.48-3.50
8 Au 0.3683 0.8342 0.4291  6 Rb 3.47-3.52
9 Rb 0.2227 0.6611 0.8934  3 Au 3.49-3.50
10 Rb 0.1851 0.9999 0.6298  3 Au 3.47-3.50
11 Au 0.8526 0.4998 0.7950  6 Rb 3.48-3.50
12 Rb 0.8463 0.0034 0.3040  3 Au 3.47-3.50
13 Rb 0.5519 0.6742 0.2221  3 Au 3.48-3.52

Which of these has the lowest DFT formation energy?
K6RbAu3

Look up the DFT formation energy of the second one.
-0.169 eV/atom

Copy entry 3 word for word.
Computed, not measured: a relaxed structure of KRb3Au at the PBE level of DFT.

Computed properties:
**Electronic total energy**: -1.056 eV/atom
**Energy relative to the lowest polymorph listed for this composition**: 514 meV per atom
**Space-group type**: Pm-3m (221)
**DFT formation energy**: 0.399 eV/atom

abc: 7.7234 7.7234 7.7234
angles: 90.00 90.00 90.00
Last column: nearest neighbours and their distance in Å.
Atoms (fractional coordinates):
1 K 0.0000 0.0000 0.0000  6 Rb 3.86
2 Rb 0.0000 0.5000 0.0000  2 K 3.86
3 Au 0.5000 0.5000 0.5000  12 Rb 5.46
4 Rb 0.5000 0.0000 0.0000  2 K 3.86
5 Rb 0.0000 0.0000 0.5000  2 K 3.86